[1]
Ba2SrFeO6 | PBEsol | relaxed

The crystal system is cubic. For the uncorrected energy, the calculation gives -270.13 eV per cell. For the total moment, the calculation gives 4.0 μB/f.u.

It has space group Fm-3m (No. 225), with a = 8.378 Å, b = 8.378 Å, c = 8.378 Å, α = 90.00°, β = 90.00° and γ = 90.00°. The asymmetric unit holds Ba at (0.250, 0.250, 0.250), Sr at (0.000, 0.000, 0.000), Fe at (0.000, 0.000, 0.500) and O at (0.000, 0.000, 0.281).



[2]
ScMn2CrH | PBEsol | relaxed

The crystal system is tetragonal. For the uncorrected energy, the calculation gives -28.54 eV per cell. For the total moment, the calculation gives 10.1 μB/f.u.

It has space group P4/mmm (No. 123), with a = 4.580 Å, b = 4.580 Å, c = 4.754 Å, α = 90.00°, β = 90.00° and γ = 90.00°. The asymmetric unit holds Sc at (0.000, 0.000, 0.000), Mn at (0.000, 0.500, 0.000), Cr at (0.000, 0.000, 0.500) and H at (0.500, 0.500, 0.500).



> Which of these has the lowest uncorrected energy?

Ba2SrFeO6



> Look up the total moment of the second one.

10.1 μB/f.u.



> Among the records above, which one has the highest total moment?

ScMn2CrH



> Which of these has the highest total moment?

ScMn2CrH